1.
Density functional theory data (SCAN) for a crystal of CrCd relaxed with PBEsol.

Computed properties:
D(E_F)   1.359 states/eV/f.u.
E_tot   -96.234 eV per cell
Formation energy from the elements   0.341 eV/atom
M_tot   0.000 μB per formula unit

Cell: 2.8637 2.8637 8.9392 Å, 90.00 90.00 120.00°
Last column: nearest neighbours and their distance in Å.
Atoms (fractional coordinates):
Cr (0.3333, 0.6667, 0.4181)  3 Cr 2.21
Cr (0.6667, 0.3333, 0.5819)  3 Cr 2.21
Cd (0.3333, 0.6667, 0.8509)  9 Cd 2.86-3.14, 3 Cr 2.92
Cd (0.6667, 0.3333, 0.1491)  9 Cd 2.86-3.14, 3 Cr 2.92



2.
Density functional theory data (SCAN) for a crystal of Ti3NbAl2 relaxed with PBEsol.

Computed properties:
D(E_F)   6.170 states/eV/f.u.
E_tot   -98.835 eV per cell
Formation energy from the elements   -0.352 eV/atom
M_tot   0.190 μB per formula unit

Cell: 4.5482 4.5482 5.4158 Å, 90.00 90.00 120.00°
Last column: nearest neighbours and their distance in Å.
Atoms (fractional coordinates):
Ti (0.0000, 0.0000, 0.0000)  2 Nb 2.71, 6 Al 2.91, 6 Ti 3.01
Ti (0.3333, 0.6667, 0.7274)  5 Al 2.63-2.74, 3 Nb 2.90
Ti (0.6667, 0.3333, 0.2726)  5 Al 2.63-2.74, 3 Nb 2.90
Nb (0.0000, 0.0000, 0.5000)  8 Ti 2.71-2.90, 6 Al 3.00
Al (0.3333, 0.6667, 0.2325)  8 Ti 2.63-2.91
Al (0.6667, 0.3333, 0.7675)  8 Ti 2.63-2.91



3.
Density functional theory data (SCAN) for a crystal of TlIn2Ir relaxed with PBEsol.

Computed properties:
ΔE to the lowest computed polymorph   196 meV/atom
D(E_F)   1.426 states/eV/f.u.
E_tot   -209.452 eV per cell
Formation energy from the elements   0.195 eV/atom
M_tot   0.000 μB per formula unit

Cell: 3.1168 3.1168 8.8925 Å, 90.00 90.00 90.00°
Last column: nearest neighbours and their distance in Å.
Atoms (fractional coordinates):
Tl (0.0000, 0.0000, 0.0000)  4 Ir 2.93, 4 Tl 3.12
In (0.0000, 0.0000, 0.5974)  4 Ir 2.76
In (0.5000, 0.5000, 0.3079)  8 In 3.12-3.39
Ir (0.5000, 0.5000, 0.7834)  4 In 2.76, 4 Tl 2.93



4.
Density functional theory data (SCAN) for a crystal of AgMoPO6 relaxed with PBEsol.

Computed properties:
D(E_F)   0.000 states/eV/f.u.
E_tot   -1051.976 eV per cell
M_tot   0.000 μB per formula unit
ΔE_f (raw)   -1.940 eV per atom

Cell: 6.3326 11.9438 13.0318 Å, 90.00 112.94 90.00°
Last column: nearest neighbours and their distance in Å.
Atoms (fractional coordinates):
Ag (0.0830, 0.2028, 0.1373)  3 O 2.21-2.41
Ag (0.0830, 0.2972, 0.6373)  3 O 2.21-2.41
Ag (0.3753, 0.7444, 0.8799)  2 O 2.11-2.13
Ag (0.3753, 0.7556, 0.3799)  2 O 2.11-2.13
Ag (0.6247, 0.2444, 0.6201)  2 O 2.11-2.13
Ag (0.6247, 0.2556, 0.1201)  2 O 2.11-2.13
Ag (0.9170, 0.7028, 0.3627)  3 O 2.21-2.41
Ag (0.9170, 0.7972, 0.8627)  3 O 2.21-2.41
Mo (0.1489, 0.1038, 0.8856)  2 O 1.71-1.72
Mo (0.1489, 0.3962, 0.3856)  2 O 1.71-1.72
Mo (0.3694, 0.5986, 0.1322)  2 O 1.73-1.74
Mo (0.3694, 0.9014, 0.6322)  2 O 1.73-1.74
Mo (0.6306, 0.0986, 0.3678)  2 O 1.73-1.74
Mo (0.6306, 0.4014, 0.8678)  2 O 1.73-1.74
Mo (0.8511, 0.6038, 0.6144)  2 O 1.71-1.72
Mo (0.8511, 0.8962, 0.1144)  2 O 1.71-1.72
P (0.1934, 0.1132, 0.4377)  4 O 1.52-1.55
P (0.1934, 0.3868, 0.9377)  4 O 1.52-1.55
P (0.3625, 0.5420, 0.6236)  4 O 1.52-1.55
P (0.3625, 0.9580, 0.1236)  4 O 1.52-1.55
P (0.6375, 0.0420, 0.8764)  4 O 1.52-1.55
P (0.6375, 0.4580, 0.3764)  4 O 1.52-1.55
P (0.8066, 0.6132, 0.0623)  4 O 1.52-1.55
P (0.8066, 0.8868, 0.5623)  4 O 1.52-1.55
O (0.0541, 0.5682, 0.1170)  1 P 1.54
O (0.0541, 0.9318, 0.6170)  1 P 1.54
O (0.0831, 0.1664, 0.7578)  1 Mo 1.72
O (0.0831, 0.3336, 0.2578)  1 Mo 1.72
O (0.1169, 0.5364, 0.3573)  1 Mo 1.71
O (0.1169, 0.9636, 0.8573)  1 Mo 1.71
O (0.1530, 0.6188, 0.6061)  1 P 1.55
O (0.1530, 0.8812, 0.1061)  1 P 1.55
O (0.1947, 0.2382, 0.4693)  1 P 1.55
O (0.1947, 0.2618, 0.9693)  1 P 1.55
O (0.2736, 0.0701, 0.0630)  1 P 1.54
O (0.2736, 0.4299, 0.5630)  1 P 1.54
O (0.2913, 0.6769, 0.0107)  1 Mo 1.74
O (0.2913, 0.8231, 0.5107)  1 Mo 1.74
O (0.3021, 0.0994, 0.3504)  1 P 1.55
O (0.3021, 0.4006, 0.8504)  1 P 1.55
O (0.3324, 0.0492, 0.5437)  1 P 1.52
O (0.3324, 0.4508, 0.0437)  1 P 1.52
O (0.4123, 0.6985, 0.2349)  1 Mo 1.73
O (0.4123, 0.8015, 0.7349)  1 Mo 1.73
O (0.4879, 0.1061, 0.9273)  1 P 1.55
O (0.4879, 0.3939, 0.4273)  1 P 1.55
O (0.4960, 0.0234, 0.7529)  1 P 1.52
O (0.4960, 0.4766, 0.2529)  1 P 1.52
O (0.5040, 0.5234, 0.7471)  1 P 1.52
O (0.5040, 0.9766, 0.2471)  1 P 1.52
O (0.5121, 0.6061, 0.5727)  1 P 1.55
O (0.5121, 0.8939, 0.0727)  1 P 1.55
O (0.5877, 0.1985, 0.2651)  1 Mo 1.73
O (0.5877, 0.3015, 0.7651)  1 Mo 1.73
O (0.6676, 0.5492, 0.9563)  1 P 1.52
O (0.6676, 0.9508, 0.4563)  1 P 1.52
O (0.6979, 0.5994, 0.1496)  1 P 1.55
O (0.6979, 0.9006, 0.6496)  1 P 1.55
O (0.7087, 0.1769, 0.4893)  1 Mo 1.74
O (0.7087, 0.3231, 0.9893)  1 Mo 1.74
O (0.7264, 0.5701, 0.4370)  1 P 1.54
O (0.7264, 0.9299, 0.9370)  1 P 1.54
O (0.8053, 0.7382, 0.0307)  1 P 1.55
O (0.8053, 0.7618, 0.5307)  1 P 1.55
O (0.8470, 0.1188, 0.8939)  1 P 1.55
O (0.8470, 0.3812, 0.3939)  1 P 1.55
O (0.8831, 0.0364, 0.1427)  1 Mo 1.71
O (0.8831, 0.4636, 0.6427)  1 Mo 1.71
O (0.9169, 0.6664, 0.7422)  1 Mo 1.72
O (0.9169, 0.8336, 0.2422)  1 Mo 1.72
O (0.9459, 0.0682, 0.3830)  1 P 1.54
O (0.9459, 0.4318, 0.8830)  1 P 1.54



5.
Density functional theory data (SCAN) for a crystal of LaScGe relaxed with PBEsol.

Computed properties:
D(E_F)   2.011 states/eV/f.u.
E_tot   -157.712 eV per cell
Formation energy from the elements   -0.809 eV/atom
M_tot   0.965 μB per formula unit

Cell: 8.5769 8.5769 8.5769 Å, 150.93 150.93 41.58°
Last column: nearest neighbours and their distance in Å.
Atoms (fractional coordinates):
La (0.1773, 0.1773, 0.0000)  5 Ge 3.18-3.26
La (0.8227, 0.8227, 0.0000)  5 Ge 3.18-3.26
Sc (0.0000, 0.5000, 0.5000)  4 Ge 2.88, 4 Sc 3.04
Sc (0.5000, 0.0000, 0.5000)  4 Ge 2.88, 4 Sc 3.04
Ge (0.3808, 0.3808, 0.0000)  4 Sc 2.88, 4 La 3.18
Ge (0.6192, 0.6192, 0.0000)  4 Sc 2.88, 4 La 3.18



6.
Density functional theory data (SCAN) for a crystal of SrMgAl2 relaxed with PBEsol.

Computed properties:
D(E_F)   2.228 states/eV/f.u.
E_tot   -42.531 eV per cell
Formation energy from the elements   0.056 eV/atom
M_tot   0.000 μB per formula unit

Cell: 4.6767 4.6767 4.3727 Å, 90.00 90.00 90.00°
Last column: nearest neighbours and their distance in Å.
Atoms (fractional coordinates):
Sr (0.0000, 0.0000, 0.0000)  8 Al 3.20, 4 Mg 3.31
Mg (0.5000, 0.5000, 0.0000)  8 Al 3.20, 4 Sr 3.31
Al (0.0000, 0.5000, 0.5000)  4 Mg 3.20, 4 Sr 3.20, 4 Al 3.31
Al (0.5000, 0.0000, 0.5000)  4 Mg 3.20, 4 Sr 3.20, 4 Al 3.31



7.
Density functional theory data (SCAN) for a crystal of La2AsI2 relaxed with PBEsol.

Computed properties:
D(E_F)   1.666 states/eV/f.u.
E_tot   -188.650 eV per cell
M_tot   0.000 μB per formula unit
ΔE_f (raw)   -1.753 eV per atom

Cell: 4.3363 4.3363 10.9540 Å, 90.00 90.00 120.00°
Last column: nearest neighbours and their distance in Å.
Atoms (fractional coordinates):
La (0.3333, 0.6667, 0.3493)  3 As 3.00, 3 I 3.25
La (0.6667, 0.3333, 0.6507)  3 As 3.00, 3 I 3.25
As (0.0000, 0.0000, 0.5000)  6 La 3.00
I (0.3333, 0.6667, 0.8399)  3 La 3.25
I (0.6667, 0.3333, 0.1601)  3 La 3.25



8.
Density functional theory data (SCAN) for a crystal of Tl4IrPt relaxed with PBEsol.

Computed properties:
D(E_F)   4.503 states/eV/f.u.
E_tot   -423.286 eV per cell
Formation energy from the elements   1.240 eV/atom
M_tot   1.078 μB per formula unit

Cell: 5.8155 5.8155 5.8155 Å, 60.00 60.00 60.00°
Last column: nearest neighbours and their distance in Å.
Atoms (fractional coordinates):
Tl (0.1250, 0.1250, 0.1250)  6 Tl 2.91
Tl (0.1250, 0.1250, 0.6251)  6 Tl 2.91
Tl (0.1250, 0.6251, 0.1250)  6 Tl 2.91
Tl (0.6251, 0.1250, 0.1250)  6 Tl 2.91
Ir (0.5000, 0.5000, 0.5000)  12 Tl 3.41, 4 Pt 3.56
Pt (0.7500, 0.7500, 0.7500)  12 Tl 3.41, 4 Ir 3.56



9.
Density functional theory data (SCAN) for a crystal of RbCrI3 relaxed with PBEsol.

Computed properties:
D(E_F)   1.382 states/eV/f.u.
E_tot   -617.010 eV per cell
M_tot   4.000 μB per formula unit
ΔE_f (raw)   -0.981 eV per atom

Cell: 7.8665 7.8665 13.4112 Å, 93.38 93.38 60.06°
Last column: nearest neighbours and their distance in Å.
Atoms (fractional coordinates):
Rb (0.1634, 0.1641, 0.8744)  11 I 3.80-4.19
Rb (0.1641, 0.1634, 0.3744)  11 I 3.80-4.19
Rb (0.8359, 0.8366, 0.6256)  11 I 3.80-4.19
Rb (0.8366, 0.8359, 0.1256)  11 I 3.80-4.19
Cr (0.5000, 0.5000, 0.0000)  6 I 2.79-2.83
Cr (0.5004, 0.4996, 0.2500)  6 I 2.81-2.83
Cr (0.5000, 0.5000, 0.5000)  6 I 2.79-2.83
Cr (0.4996, 0.5004, 0.7500)  6 I 2.81-2.83
I (0.1681, 0.6644, 0.3679)  2 Cr 2.81-2.82
I (0.1676, 0.6651, 0.8681)  2 Cr 2.81-2.83
I (0.3343, 0.3337, 0.1112)  2 Cr 2.79-2.83
I (0.3337, 0.3343, 0.6112)  2 Cr 2.79-2.83
I (0.3349, 0.8324, 0.6319)  2 Cr 2.81-2.83
I (0.3356, 0.8319, 0.1321)  2 Cr 2.81-2.82
I (0.6644, 0.1681, 0.8679)  2 Cr 2.81-2.82
I (0.6651, 0.1676, 0.3681)  2 Cr 2.81-2.83
I (0.6663, 0.6657, 0.3888)  2 Cr 2.79-2.83
I (0.6657, 0.6663, 0.8888)  2 Cr 2.79-2.83
I (0.8324, 0.3349, 0.1319)  2 Cr 2.81-2.83
I (0.8319, 0.3356, 0.6321)  2 Cr 2.81-2.82



10.
Density functional theory data (SCAN) for a crystal of CaLaPb2 relaxed with PBEsol.

Computed properties:
D(E_F)   2.260 states/eV/f.u.
E_tot   -207.396 eV per cell
Formation energy from the elements   -0.766 eV/atom
M_tot   0.001 μB per formula unit

Cell: 5.6780 5.6780 3.7308 Å, 90.00 90.00 90.00°
Last column: nearest neighbours and their distance in Å.
Atoms (fractional coordinates):
Ca (0.0000, 0.0000, 0.0000)  8 Pb 3.40, 2 Ca 3.73
La (0.5000, 0.5000, 0.0000)  8 Pb 3.40, 2 La 3.73
Pb (0.0000, 0.5000, 0.5000)  4 La 3.40, 4 Ca 3.40, 2 Pb 3.73
Pb (0.5000, 0.0000, 0.5000)  4 La 3.40, 4 Ca 3.40, 2 Pb 3.73



11.
Density functional theory data (SCAN) for a crystal of ZnCrN2F relaxed with PBEsol.

Computed properties:
D(E_F)   1.282 states/eV/f.u.
E_tot   -55.322 eV per cell
M_tot   0.949 μB per formula unit
ΔE_f (raw)   -0.260 eV per atom

Cell: 3.6946 3.6946 3.8102 Å, 90.00 90.00 90.00°
Last column: nearest neighbours and their distance in Å.
Atoms (fractional coordinates):
Zn (0.0000, 0.0000, 0.0000)  4 F 2.61, 8 N 2.65
Cr (0.5000, 0.5000, 0.5000)  4 N 1.85, 2 F 1.91
N (0.0000, 0.5000, 0.5000)  2 Cr 1.85
N (0.5000, 0.0000, 0.5000)  2 Cr 1.85
F (0.5000, 0.5000, 0.0000)  2 Cr 1.91



12.
Density functional theory data (SCAN) for a crystal of KReBr3 relaxed with PBEsol.

Computed properties:
D(E_F)   2.017 states/eV/f.u.
E_tot   -139.281 eV per cell
M_tot   3.160 μB per formula unit
ΔE_f (raw)   -0.295 eV per atom

Cell: 5.1969 5.1969 5.1969 Å, 90.00 90.00 90.00°
Last column: nearest neighbours and their distance in Å.
Atoms (fractional coordinates):
K (0.0000, 0.0000, 0.0000)  12 Br 3.67
Re (0.5000, 0.5000, 0.5000)  6 Br 2.60
Br (0.0000, 0.5000, 0.5000)  2 Re 2.60
Br (0.5000, 0.0000, 0.5000)  2 Re 2.60
Br (0.5000, 0.5000, 0.0000)  2 Re 2.60